1.
# KY2Br PBE optimized geometry
# - M_tot: 1.83 Bohr magnetons per cell
# - V: 38.06 Å³/atom
# - Formation energy (no corrections): -0.03 eV/atom
# - Energy above the lowest structure with this stoichiometry: 480 meV/atom
# - Calculated density: 3.24 g/cm3
data_KY2Br
_symmetry_space_group_name_H-M 'I 4/m m m'
_symmetry_Int_Tables_number 139
_symmetry_space_group_name_Hall '-I 4 2'
_cell_length_a 4.620
_cell_length_b 4.620
_cell_length_c 14.264
_cell_angle_alpha 90.00
_cell_angle_beta 90.00
_cell_angle_gamma 90.00
loop_
_atom_site_label
_atom_site_type_symbol
_atom_site_fract_x
_atom_site_fract_y
_atom_site_fract_z
_atom_site_occupancy
K1 K 0.000 0.000 0.000 1
Y1 Y 0.000 0.500 0.250 1
Br1 Br 0.000 0.000 0.500 1

---

2.
# KYBr PBE optimized geometry
# - M_tot: 1.03 Bohr magnetons per cell
# - V: 34.50 Å³/atom
# - Formation energy (no corrections): -0.67 eV/atom
# - Energy above the lowest structure with this stoichiometry: 0 meV/atom
# - Calculated density: 3.34 g/cm3
data_KYBr
_symmetry_space_group_name_H-M 'P 3 m 1'
_symmetry_Int_Tables_number 156
_symmetry_space_group_name_Hall 'P 3 -2"'
_cell_length_a 3.8402
_cell_length_b 3.8402
_cell_length_c 8.1031
_cell_angle_alpha 90.00
_cell_angle_beta 90.00
_cell_angle_gamma 120.00
loop_
_atom_site_label
_atom_site_type_symbol
_atom_site_fract_x
_atom_site_fract_y
_atom_site_fract_z
_atom_site_occupancy
K1 K 0.0000 0.0000 0.0000 1
Y1 Y 0.6667 0.3333 0.4226 1
Br1 Br 0.3333 0.6667 0.6796 1

---

3.
# KY2Br PBE optimized geometry
# - M_tot: 10.84 Bohr magnetons per cell
# - V: 37.15 Å³/atom
# - Formation energy (no corrections): 0.31 eV/atom
# - Energy above the lowest structure with this stoichiometry: 824 meV/atom
# - Calculated density: 3.32 g/cm3
data_KY2Br
_symmetry_space_group_name_H-M 'F -4 3 m'
_symmetry_Int_Tables_number 216
_symmetry_space_group_name_Hall 'F -4 2 3'
_cell_length_a 8.408
_cell_length_b 8.408
_cell_length_c 8.408
_cell_angle_alpha 90.00
_cell_angle_beta 90.00
_cell_angle_gamma 90.00
loop_
_atom_site_label
_atom_site_type_symbol
_atom_site_fract_x
_atom_site_fract_y
_atom_site_fract_z
_atom_site_occupancy
K1 K 0.000 0.000 0.000 1
Y1 Y 0.000 0.000 0.500 1
Y2 Y 0.250 0.250 0.750 1
Br1 Br 0.250 0.250 0.250 1

---

4.
# KY2Br PBE optimized geometry
# - M_tot: 0.01 Bohr magnetons per cell
# - V: 33.96 Å³/atom
# - Formation energy (no corrections): -0.32 eV/atom
# - Energy above the lowest structure with this stoichiometry: 186 meV/atom
# - Calculated density: 3.63 g/cm3
data_KY2Br
_symmetry_space_group_name_H-M 'I m m m'
_symmetry_Int_Tables_number 71
_symmetry_space_group_name_Hall '-I 2 2'
_cell_length_a 3.530
_cell_length_b 5.583
_cell_length_c 13.786
_cell_angle_alpha 90.00
_cell_angle_beta 90.00
_cell_angle_gamma 90.00
loop_
_atom_site_label
_atom_site_type_symbol
_atom_site_fract_x
_atom_site_fract_y
_atom_site_fract_z
_atom_site_occupancy
K1 K 0.000 0.000 0.000 1
Y1 Y 0.000 0.500 0.201 1
Br1 Br 0.000 0.000 0.500 1

---

5.
# KYBr2 PBE optimized geometry
# - M_tot: 0.36 Bohr magnetons per cell
# - V: 32.47 Å³/atom
# - Formation energy (no corrections): -1.20 eV/atom
# - Energy above the lowest structure with this stoichiometry: 19 meV/atom
# - Calculated density: 3.68 g/cm3
data_KYBr2
_symmetry_space_group_name_H-M 'P 4/m m m'
_symmetry_Int_Tables_number 123
_symmetry_space_group_name_Hall '-P 4 2'
_cell_length_a 5.741
_cell_length_b 5.741
_cell_length_c 3.940
_cell_angle_alpha 90.00
_cell_angle_beta 90.00
_cell_angle_gamma 90.00
loop_
_atom_site_label
_atom_site_type_symbol
_atom_site_fract_x
_atom_site_fract_y
_atom_site_fract_z
_atom_site_occupancy
K1 K 0.000 0.000 0.000 1
Y1 Y 0.500 0.500 0.500 1
Br1 Br 0.000 0.500 0.500 1

---

6.
# KYBr2 PBE optimized geometry
# - M_tot: 0.30 Bohr magnetons per cell
# - V: 32.41 Å³/atom
# - Formation energy (no corrections): -1.12 eV/atom
# - Energy above the lowest structure with this stoichiometry: 99 meV/atom
# - Calculated density: 3.69 g/cm3
data_KYBr2
_symmetry_space_group_name_H-M 'C 1 m 1'
_symmetry_Int_Tables_number 8
_symmetry_space_group_name_Hall 'C -2y'
_cell_length_a 16.640
_cell_length_b 4.006
_cell_length_c 3.909
_cell_angle_alpha 90.00
_cell_angle_beta 95.77
_cell_angle_gamma 90.00
loop_
_atom_site_label
_atom_site_type_symbol
_atom_site_fract_x
_atom_site_fract_y
_atom_site_fract_z
_atom_site_occupancy
K1 K 0.000 0.000 0.000 1
Y1 Y 0.241 0.000 0.601 1
Br1 Br 0.111 0.500 0.546 1
Br2 Br 0.307 0.500 0.129 1

---

> Among the records above, which one has the highest V?

number 1